Entry 1:
Compound: Zr2BeCo
Source: Alexandria
Functional: PBE
Structure: relaxed

```
Zr2BeCo
1.0
1.668 0.963 7.140
-1.668 0.963 7.140
0.000 -1.925 7.140
Zr Be Co
2 1 1
direct
0.248 0.248 0.248
0.752 0.752 0.752
0.000 0.000 0.000
0.500 0.500 0.500
```

Values from the calculation:
E_tot = -6.86 eV per atom
theoretical density = 6.05 Mg/m³
M_tot = 0.0 μB per formula unit
N(E_F) = 3.27 states/eV/cell

***

Entry 2:
Compound: Zr2Be2Co
Source: Alexandria
Functional: PBE
Structure: relaxed

```
Zr2Be2Co
1.0
6.324 0.000 0.000
0.000 6.324 0.000
0.000 0.000 3.640
Zr Be Co
4 4 2
direct
0.178 0.322 0.000
0.322 0.822 0.000
0.678 0.178 0.000
0.822 0.678 0.000
0.121 0.621 0.500
0.379 0.121 0.500
0.621 0.879 0.500
0.879 0.379 0.500
0.000 0.000 0.500
0.500 0.500 0.500
```

Values from the calculation:
energy relative to the lowest polymorph listed for this composition = 88 meV/atom
theoretical density = 5.92 Mg/m³
M_tot = 0.0 μB per formula unit
N(E_F) = 10.41 states/eV/cell

***

Entry 3:
Compound: ZrBeCo3
Source: Alexandria
Functional: PBE
Structure: relaxed

```
ZrBeCo3
1.0
4.495 0.000 0.000
0.000 4.495 0.000
0.000 0.000 4.495
Zr Be Co
1 1 3
direct
0.000 0.000 0.000
0.500 0.500 0.500
0.000 0.000 0.500
0.000 0.500 0.000
0.500 0.000 0.000
```

Values from the calculation:
energy relative to the lowest polymorph listed for this composition = 1810 meV/atom
theoretical density = 5.06 Mg/m³
M_tot = 1.6 μB per formula unit
N(E_F) = 4.27 states/eV/cell

***

Entry 4:
Compound: Zr2Be3Co
Source: Alexandria
Functional: PBE
Structure: relaxed

```
Zr2Be3Co
1.0
-1.945 2.257 4.795
1.945 -2.257 4.795
1.945 2.257 -4.795
Zr Be Co
2 3 1
direct
0.210 0.210 0.000
0.790 0.790 0.000
0.000 0.500 0.500
0.398 0.898 0.500
0.602 0.102 0.500
0.500 0.500 0.000
```

Values from the calculation:
energy relative to the lowest polymorph listed for this composition = 296 meV/atom
theoretical density = 5.29 Mg/m³
M_tot = 0.0 μB per formula unit
N(E_F) = 3.92 states/eV/cell